DFT (PBE+U) results for crystalline FeP3O at its relaxed geometry.

Unit cell a=4.2018 b=4.2018 c=4.2018 alpha=90.00 beta=90.00 gamma=90.00
With the nearest neighbours (Å) after each atom.
Fractional positions:
Fe 0.0000 0.0000 0.0000  6 P 2.10
P 0.0000 0.0000 0.5000  2 Fe 2.10
P 0.0000 0.5000 0.0000  2 Fe 2.10
P 0.5000 0.0000 0.0000  2 Fe 2.10
O 0.5000 0.5000 0.5000  12 P 2.97

Computed properties:
The calculation puts the energy above the most stable polymorph in this dataset at 0.6173 eV per atom. For the size of the total moment, the calculation gives 0.0 μB per cell. Its symmetry is Pm-3m (221).